(1)
Material: LaZrAg
Method: DFT, GGA-PBE
State: optimized geometry

The value obtained for the energy of formation from the pure elements is 178 meV/atom. The space-group type is P6_3/mmc (194). As for the total energy: -31.59 eV/cell. The total moment comes out at 0.02 Bohr magnetons per cell. The energy relative to the lowest polymorph listed for this composition is 247.5 meV per atom.

Lattice parameters (Å, degrees): 5.039 5.039 7.033 90.00 90.00 120.00
Fractional coordinates of all 6 atoms:
La 0.000 0.000 0.000
La 0.000 0.000 0.500
Zr 0.333 0.667 0.250
Zr 0.667 0.333 0.750
Ag 0.333 0.667 0.750
Ag 0.667 0.333 0.250


(2)
Material: LaZr2Ag
Method: DFT, GGA-PBE
State: optimized geometry

The value obtained for the energy of formation from the pure elements is 110 meV/atom. The space-group type is R3m (160). As for the total energy: -73.30 eV/cell. The total moment comes out at 0.00 Bohr magnetons per cell. The energy relative to the lowest polymorph listed for this composition is 146.6 meV per atom.

Lattice parameters (Å, degrees): 3.325 3.325 31.368 90.00 90.00 120.00
Fractional coordinates of all 12 atoms:
La 0.000 0.000 0.000
La 0.333 0.667 0.667
La 0.667 0.333 0.333
Zr 0.000 0.000 0.240
Zr 0.000 0.000 0.495
Zr 0.333 0.667 0.162
Zr 0.333 0.667 0.906
Zr 0.667 0.333 0.573
Zr 0.667 0.333 0.828
Ag 0.000 0.000 0.754
Ag 0.333 0.667 0.421
Ag 0.667 0.333 0.088


(3)
Material: LaZrAg
Method: DFT, GGA-PBE
State: optimized geometry

The value obtained for the energy of formation from the pure elements is 38 meV/atom. The space-group type is Cmmm (65). As for the total energy: -64.85 eV/cell. The total moment comes out at 0.00 Bohr magnetons per cell. The energy relative to the lowest polymorph listed for this composition is 107.9 meV per atom.

Lattice parameters (Å, degrees): 4.983 12.009 5.116 90.00 90.00 90.00
Fractional coordinates of all 12 atoms:
La 0.000 0.159 0.000
La 0.000 0.841 0.000
La 0.500 0.341 0.000
La 0.500 0.659 0.000
Zr 0.000 0.345 0.500
Zr 0.000 0.655 0.500
Zr 0.500 0.155 0.500
Zr 0.500 0.845 0.500
Ag 0.000 0.000 0.500
Ag 0.000 0.500 0.000
Ag 0.500 0.000 0.000
Ag 0.500 0.500 0.500


(4)
Material: La2ZrAg
Method: DFT, GGA-PBE
State: optimized geometry

The value obtained for the energy of formation from the pure elements is 128 meV/atom. The space-group type is I-4m2 (119). As for the total energy: -41.48 eV/cell. The total moment comes out at 0.00 Bohr magnetons per cell. The energy relative to the lowest polymorph listed for this composition is 146.8 meV per atom.

Lattice parameters (Å, degrees): 4.654 4.654 10.097 90.00 90.00 90.00
Fractional coordinates of all 8 atoms:
La 0.000 0.000 0.000
La 0.000 0.500 0.250
La 0.500 0.000 0.750
La 0.500 0.500 0.500
Zr 0.000 0.500 0.750
Zr 0.500 0.000 0.250
Ag 0.000 0.000 0.500
Ag 0.500 0.500 0.000